First-principles (PBE-GGA) data for crystalline TlAgPd5 at its relaxed geometry, as listed in Alexandria.

Summary:
ΔE to the lowest computed polymorph	100	meV per atom

```
data_TlAgPd5
_cell_length_a 5.1255
_cell_length_b 5.3675
_cell_length_c 9.3640
_cell_angle_alpha 90.00
_cell_angle_beta 90.00
_cell_angle_gamma 90.00
_symmetry_space_group_name_H-M 'I m m 2'
_symmetry_Int_Tables_number 44
loop_
_symmetry_equiv_pos_as_xyz
'x,y,z'
'-x,-y,z'
'-x,y,z'
'x,-y,z'
'x+1/2,y+1/2,z+1/2'
'-x+1/2,-y+1/2,z+1/2'
'-x+1/2,y+1/2,z+1/2'
'x+1/2,-y+1/2,z+1/2'
loop_
_atom_site_label
_atom_site_type_symbol
_atom_site_fract_x
_atom_site_fract_y
_atom_site_fract_z
_atom_site_occupancy
Tl1 Tl 0.0000 0.0000 0.0000 1
Ag1 Ag 0.0000 0.5000 0.6973 1
Pd1 Pd 0.0000 0.0000 0.7240 1
Pd2 Pd 0.0000 0.2569 0.2519 1
Pd3 Pd 0.2476 0.5000 0.9752 1
```

First-principles (PBE-GGA) data for crystalline Tl2Ag5Pd12 at its relaxed geometry, as listed in Alexandria.

```
data_Tl2Ag5Pd12
_cell_length_a 14.1852
_cell_length_b 9.3964
_cell_length_c 5.0387
_cell_angle_alpha 90.00
_cell_angle_beta 103.86
_cell_angle_gamma 90.00
_symmetry_space_group_name_H-M 'C 1 2/m 1'
_symmetry_Int_Tables_number 12
loop_
_symmetry_equiv_pos_as_xyz
'x,y,z'
'-x,-y,-z'
'-x,y,-z'
'x,-y,z'
'x+1/2,y+1/2,z'
'-x+1/2,-y+1/2,-z'
'-x+1/2,y+1/2,-z'
'x+1/2,-y+1/2,z'
loop_
_atom_site_label
_atom_site_type_symbol
_atom_site_fract_x
_atom_site_fract_y
_atom_site_fract_z
_atom_site_occupancy
Tl1 Tl 0.0000 0.2302 0.0000 1
Ag1 Ag 0.0000 0.0000 0.5000 1
Ag2 Ag 0.1623 0.5000 0.8793 1
Ag3 Ag 0.2232 0.0000 0.5283 1
Pd1 Pd 0.0529 0.5000 0.2913 1
Pd2 Pd 0.1017 0.2511 0.6059 1
Pd3 Pd 0.1334 0.0000 0.9709 1
Pd4 Pd 0.2017 0.2535 0.2059 1
```

First-principles (PBE-GGA) data for crystalline Tl3AgPd3 at its relaxed geometry, as listed in Alexandria.

```
data_Tl3AgPd3
_cell_length_a 8.3832
_cell_length_b 8.3832
_cell_length_c 4.7323
_cell_angle_alpha 90.00
_cell_angle_beta 90.00
_cell_angle_gamma 120.00
_symmetry_space_group_name_H-M 'P 63/m'
_symmetry_Int_Tables_number 176
_symmetry_space_group_name_Hall '-P 6c'
loop_
_atom_site_label
_atom_site_type_symbol
_atom_site_fract_x
_atom_site_fract_y
_atom_site_fract_z
_atom_site_occupancy
Tl1 Tl 0.1004 0.6680 0.2500 1
Ag1 Ag 0.3333 0.6667 0.7500 1
Pd1 Pd 0.0590 0.8358 0.7500 1
```

First-principles (PBE-GGA) data for crystalline TlAg14Pd at its relaxed geometry, as listed in Alexandria.

```
data_TlAg14Pd
_cell_length_a 9.6070
_cell_length_b 5.8528
_cell_length_c 10.3386
_cell_angle_alpha 90.00
_cell_angle_beta 90.00
_cell_angle_gamma 90.00
_symmetry_space_group_name_H-M 'A m m 2'
_symmetry_Int_Tables_number 38
loop_
_symmetry_equiv_pos_as_xyz
'x,y,z'
'-x,-y,z'
'-x,y,z'
'x,-y,z'
'x,y+1/2,z+1/2'
'-x,-y+1/2,z+1/2'
'-x,y+1/2,z+1/2'
'x,-y+1/2,z+1/2'
loop_
_atom_site_label
_atom_site_type_symbol
_atom_site_fract_x
_atom_site_fract_y
_atom_site_fract_z
_atom_site_occupancy
Tl1 Tl 0.0000 0.0000 0.0000 1
Ag1 Ag 0.0000 0.2484 0.2501 1
Ag2 Ag 0.2482 0.0000 0.6625 1
Ag3 Ag 0.2526 0.2465 0.4129 1
Ag4 Ag 0.2546 0.0000 0.1658 1
Ag5 Ag 0.5000 0.0000 0.3284 1
Ag6 Ag 0.5000 0.0000 0.8274 1
Ag7 Ag 0.5000 0.2504 0.0780 1
Pd1 Pd 0.0000 0.0000 0.4995 1
```

Record order is preserved below.
Formation energy from the elements: 0.097; -0.029; -0.039; 0.019 eV/atom